# PBE NiSb2Se, optimized geometry
# M_tot: 0.000 μB per atom
# Mass density: 7.588 g cm⁻³
# Calculated total energy: -4.003 eV per atom
data_NiSb2Se
_cell_length_a 4.633
_cell_length_b 4.633
_cell_length_c 7.772
_cell_angle_alpha 90.00
_cell_angle_beta 90.00
_cell_angle_gamma 90.00
_space_group_name_H-M_alt 'I 4/m m m'
_space_group_IT_number 139
_space_group_name_Hall '-I 4 2'
loop_
_atom_site_label
_atom_site_fract_x
_atom_site_fract_y
_atom_site_fract_z
Ni1 0.000 0.000 0.000
Sb1 0.000 0.500 0.250
Se1 0.000 0.000 0.500

=====

# PBE NiSbSe, optimized geometry
# M_tot: 0.000 μB per atom
# Mass density: 7.488 g cm⁻³
# Calculated total energy: -4.763 eV per atom
data_NiSbSe
_cell_length_a 6.128
_cell_length_b 6.128
_cell_length_c 6.128
_cell_angle_alpha 90.00
_cell_angle_beta 90.00
_cell_angle_gamma 90.00
_space_group_name_H-M_alt 'P 21 3'
_space_group_IT_number 198
_space_group_name_Hall 'P 2ac 2ab 3'
loop_
_atom_site_label
_atom_site_fract_x
_atom_site_fract_y
_atom_site_fract_z
Ni1 0.009 0.491 0.509
Sb1 0.131 0.869 0.369
Se1 0.124 0.624 0.876

=====

# PBE Ni2SbSe, optimized geometry
# M_tot: 0.000 μB per atom
# Mass density: 8.247 g cm⁻³
# Calculated total energy: -4.653 eV per atom
data_Ni2SbSe
_cell_length_a 6.075
_cell_length_b 6.427
_cell_length_c 3.281
_cell_angle_alpha 90.00
_cell_angle_beta 90.00
_cell_angle_gamma 90.00
_space_group_name_H-M_alt 'C m m m'
_space_group_IT_number 65
_space_group_name_Hall '-C 2 2'
loop_
_atom_site_label
_atom_site_fract_x
_atom_site_fract_y
_atom_site_fract_z
Ni1 0.250 0.250 0.000
Sb1 0.000 0.000 0.500
Se1 0.000 0.500 0.500

=====

# PBE NiSb2Se, optimized geometry
# M_tot: 0.000 μB per atom
# Mass density: 7.707 g cm⁻³
# Calculated total energy: -4.223 eV per atom
data_NiSb2Se
_cell_length_a 3.332
_cell_length_b 3.332
_cell_length_c 7.398
_cell_angle_alpha 90.00
_cell_angle_beta 90.00
_cell_angle_gamma 90.00
_space_group_name_H-M_alt 'P 4/m m m'
_space_group_IT_number 123
_space_group_name_Hall '-P 4 2'
loop_
_atom_site_label
_atom_site_fract_x
_atom_site_fract_y
_atom_site_fract_z
Ni1 0.000 0.000 0.000
Sb1 0.500 0.500 0.215
Se1 0.000 0.000 0.500

=====

# PBE NiSbSe, optimized geometry
# M_tot: 0.000 μB per atom
# Mass density: 7.045 g cm⁻³
# Calculated total energy: -4.516 eV per atom
data_NiSbSe
_cell_length_a 6.254
_cell_length_b 6.254
_cell_length_c 6.254
_cell_angle_alpha 90.00
_cell_angle_beta 90.00
_cell_angle_gamma 90.00
_space_group_name_H-M_alt 'F -4 3 m'
_space_group_IT_number 216
_space_group_name_Hall 'F -4 2 3'
loop_
_atom_site_label
_atom_site_fract_x
_atom_site_fract_y
_atom_site_fract_z
Ni1 0.000 0.000 0.000
Sb1 0.250 0.250 0.250
Se1 0.250 0.250 0.750

=====

# PBE NiSb2Se, optimized geometry
# M_tot: 0.093 μB per atom
# Mass density: 7.392 g cm⁻³
# Calculated total energy: -3.951 eV per atom
data_NiSb2Se
_cell_length_a 6.997
_cell_length_b 6.997
_cell_length_c 6.997
_cell_angle_alpha 90.00
_cell_angle_beta 90.00
_cell_angle_gamma 90.00
_space_group_name_H-M_alt 'F -4 3 m'
_space_group_IT_number 216
_space_group_name_Hall 'F -4 2 3'
loop_
_atom_site_label
_atom_site_fract_x
_atom_site_fract_y
_atom_site_fract_z
Ni1 0.000 0.000 0.000
Sb1 0.000 0.000 0.500
Sb2 0.250 0.250 0.250
Se1 0.250 0.250 0.750

=====

# PBE Ni2SbSe, optimized geometry
# M_tot: 0.000 μB per atom
# Mass density: 7.475 g cm⁻³
# Calculated total energy: -4.760 eV per atom
data_Ni2SbSe
_cell_length_a 3.356
_cell_length_b 3.517
_cell_length_c 5.988
_cell_angle_alpha 90.00
_cell_angle_beta 90.00
_cell_angle_gamma 90.00
_space_group_name_H-M_alt 'P m m m'
_space_group_IT_number 47
_space_group_name_Hall '-P 2 2'
loop_
_atom_site_label
_atom_site_fract_x
_atom_site_fract_y
_atom_site_fract_z
Ni1 0.000 0.000 0.209
Sb1 0.500 0.500 0.000
Se1 0.500 0.000 0.500

=====

# PBE Ni2SbSe, optimized geometry
# M_tot: 0.000 μB per atom
# Mass density: 7.256 g cm⁻³
# Calculated total energy: -4.917 eV per atom
data_Ni2SbSe
_cell_length_a 3.253
_cell_length_b 3.253
_cell_length_c 6.878
_cell_angle_alpha 90.00
_cell_angle_beta 90.00
_cell_angle_gamma 90.00
_space_group_name_H-M_alt 'P 4 m m'
_space_group_IT_number 99
_space_group_name_Hall 'P 4 -2'
loop_
_atom_site_label
_atom_site_fract_x
_atom_site_fract_y
_atom_site_fract_z
Ni1 0.000 0.000 0.000
Ni2 0.500 0.500 0.199
Sb1 0.000 0.000 0.393
Se1 0.500 0.500 0.862

=====

# PBE Ni2Sb3Se3, optimized geometry
# M_tot: 0.000 μB per atom
# Mass density: 6.581 g cm⁻³
# Calculated total energy: -4.481 eV per atom
data_Ni2Sb3Se3
_cell_length_a 12.7336
_cell_length_b 12.7336
_cell_length_c 15.5149
_cell_angle_alpha 90.00
_cell_angle_beta 90.00
_cell_angle_gamma 120.00
_space_group_name_H-M_alt 'R -3'
_space_group_IT_number 148
_space_group_name_Hall '-R 3'
loop_
_atom_site_label
_atom_site_fract_x
_atom_site_fract_y
_atom_site_fract_z
Ni1 0.0000 0.0000 0.2438
Ni2 0.9998 0.4991 0.2430
Sb1 0.0086 0.1712 0.3367
Sb2 0.0596 0.6053 0.6076
Se1 0.0109 0.1746 0.8357
Se2 0.0587 0.7853 0.4368

=====

# PBE NiSbSe, optimized geometry
# M_tot: 0.000 μB per atom
# Mass density: 6.226 g cm⁻³
# Calculated total energy: -3.952 eV per atom
data_NiSbSe
_cell_length_a 6.517
_cell_length_b 6.517
_cell_length_c 6.517
_cell_angle_alpha 90.00
_cell_angle_beta 90.00
_cell_angle_gamma 90.00
_space_group_name_H-M_alt 'F -4 3 m'
_space_group_IT_number 216
_space_group_name_Hall 'F -4 2 3'
loop_
_atom_site_label
_atom_site_fract_x
_atom_site_fract_y
_atom_site_fract_z
Ni1 0.000 0.000 0.000
Sb1 0.250 0.250 0.250
Se1 0.000 0.000 0.500

=====

# PBE Ni2SbSe, optimized geometry
# M_tot: 0.000 μB per atom
# Mass density: 8.067 g cm⁻³
# Calculated total energy: -4.590 eV per atom
data_Ni2SbSe
_cell_length_a 3.698
_cell_length_b 3.698
_cell_length_c 9.579
_cell_angle_alpha 90.00
_cell_angle_beta 90.00
_cell_angle_gamma 90.00
_space_group_name_H-M_alt 'I -4 m 2'
_space_group_IT_number 119
_space_group_name_Hall 'I -4 -2'
loop_
_atom_site_label
_atom_site_fract_x
_atom_site_fract_y
_atom_site_fract_z
Ni1 0.000 0.000 0.000
Ni2 0.000 0.500 0.250
Sb1 0.000 0.500 0.750
Se1 0.000 0.000 0.500

=====

# PBE NiSb2Se, optimized geometry
# M_tot: 0.000 μB per atom
# Mass density: 6.803 g cm⁻³
# Calculated total energy: -4.304 eV per atom
data_NiSb2Se
_cell_length_a 3.168
_cell_length_b 3.168
_cell_length_c 9.269
_cell_angle_alpha 90.00
_cell_angle_beta 90.00
_cell_angle_gamma 90.00
_space_group_name_H-M_alt 'P 4 m m'
_space_group_IT_number 99
_space_group_name_Hall 'P 4 -2'
loop_
_atom_site_label
_atom_site_fract_x
_atom_site_fract_y
_atom_site_fract_z
Ni1 0.000 0.000 0.000
Sb1 0.000 0.000 0.718
Sb2 0.500 0.500 0.404
Se1 0.500 0.500 0.091